Record 1
# BaAg2Se2 PBE optimized geometry
data_BaAg2Se2
_chemical_formula_sum 'Ba4 Ag8 Se8'
_space_group_name_H-M_alt 'P n m a'
_space_group_IT_number 62
_space_group_name_Hall '-P 2ac 2n'
_cell_length_a 10.610
_cell_length_b 4.441
_cell_length_c 11.325
_cell_angle_alpha 90.00
_cell_angle_beta 90.00
_cell_angle_gamma 90.00
loop_
_atom_site_label
_atom_site_fract_x
_atom_site_fract_y
_atom_site_fract_z
_atom_site_occupancy
Ba1 0.243 0.250 0.192 1
Ag1 0.060 0.750 0.413 1
Ag2 0.068 0.750 0.950 1
Se1 0.019 0.250 0.813 1
Se2 0.182 0.250 0.482 1
# Formation energy without anion corrections, eV per atom: -0.8813
# Density of states at the Fermi level, states/eV per atom: 0.0059



Record 2
# Ba4Ag2Se PBE optimized geometry
data_Ba4Ag2Se
_chemical_formula_sum 'Ba8 Ag4 Se2'
_space_group_name_H-M_alt 'I 4/m m m'
_space_group_IT_number 139
_space_group_name_Hall '-I 4 2'
_cell_length_a 6.409
_cell_length_b 6.409
_cell_length_c 16.036
_cell_angle_alpha 90.00
_cell_angle_beta 90.00
_cell_angle_gamma 90.00
loop_
_atom_site_label
_atom_site_fract_x
_atom_site_fract_y
_atom_site_fract_z
_atom_site_occupancy
Ba1 0.000 0.000 0.203 1
Ba2 0.000 0.500 0.000 1
Ag1 0.000 0.000 0.410 1
Se1 0.000 0.000 0.000 1
# Formation energy without anion corrections, eV per atom: -0.5730
# Density of states at the Fermi level, states/eV per atom: 0.9019